! meta-GGA SCAN CuTcTeI2, PBEsol geometry; values from VASP
&SYSTEM
  ibrav = 0, nat = 5, ntyp = 4
/
ATOMIC_SPECIES
Cu 63.55 Cu.upf
I 126.90 I.upf
Te 127.60 Te.upf
Tc 98.00 Tc.upf
ATOMIC_POSITIONS crystal
Cu 0.500 0.500 0.500
I 0.000 0.500 0.000
I 0.000 0.000 0.500
Te 0.500 0.000 0.000
Tc 0.000 0.000 0.000
CELL_PARAMETERS angstrom
4.983 0.000 0.000
0.000 5.453 0.000
0.000 0.000 5.453
! Crystal system: tetragonal
! DOS at the Fermi energy: 4.109 states/eV per cell
! Energy relative to the elements, uncorrected: 80.85 kJ/mol of atoms

! meta-GGA SCAN Cd2GaRe2, PBEsol geometry; values from VASP
&SYSTEM
  ibrav = 0, nat = 5, ntyp = 3
/
ATOMIC_SPECIES
Cd 112.41 Cd.upf
Ga 69.72 Ga.upf
Re 186.21 Re.upf
ATOMIC_POSITIONS crystal
Cd 0.250 0.750 0.500
Cd 0.750 0.250 0.500
Ga 0.000 0.000 0.000
Re 0.418 0.418 0.837
Re 0.582 0.582 0.163
CELL_PARAMETERS angstrom
3.583 0.000 0.000
0.000 3.583 0.000
-1.791 -1.791 7.107
! Crystal system: tetragonal
! DOS at the Fermi energy: 3.847 states/eV per cell
! Formation enthalpy at 0 K: 1.022 eV per atom

! meta-GGA SCAN YMnO3, PBEsol geometry; values from VASP
&SYSTEM
  ibrav = 0, nat = 5, ntyp = 3
/
ATOMIC_SPECIES
O 16.00 O.upf
Y 88.91 Y.upf
Mn 54.94 Mn.upf
ATOMIC_POSITIONS crystal
O 0.500 0.000 0.000
O 0.000 0.500 0.000
O 0.000 0.000 0.500
Y 0.000 0.000 0.000
Mn 0.500 0.500 0.500
CELL_PARAMETERS angstrom
4.252 0.000 0.000
0.000 4.252 0.000
0.000 0.000 4.252
! Crystal system: cubic
! DOS at the Fermi energy: 1.616 states/eV per cell
! Energy relative to the elements, uncorrected: -163.23 kJ/mol of atoms

! meta-GGA SCAN LiCuPt4, PBEsol geometry; values from VASP
&SYSTEM
  ibrav = 0, nat = 6, ntyp = 3
/
ATOMIC_SPECIES
Li 6.94 Li.upf
Pt 195.08 Pt.upf
Cu 63.55 Cu.upf
ATOMIC_POSITIONS crystal
Li 0.000 0.000 0.000
Pt 0.375 0.375 0.375
Pt 0.375 0.375 0.875
Pt 0.875 0.375 0.375
Pt 0.375 0.875 0.375
Cu 0.750 0.750 0.750
CELL_PARAMETERS angstrom
-3.095 1.675 -3.767
0.907 -1.376 -4.885
-3.174 -3.290 -2.383
! Crystal system: cubic
! DOS at the Fermi energy: 1.300 states/eV per cell
! Formation enthalpy at 0 K: -0.157 eV per atom

! meta-GGA SCAN LiV3OF11, PBEsol geometry; values from VASP
&SYSTEM
  ibrav = 0, nat = 32, ntyp = 4
/
ATOMIC_SPECIES
F 19.00 F.upf
V 50.94 V.upf
Li 6.94 Li.upf
O 16.00 O.upf
ATOMIC_POSITIONS crystal
F 0.496 0.521 0.953
F 0.703 0.699 0.814
F 0.206 0.945 0.513
F 0.780 0.214 0.854
F 0.286 0.132 0.852
F 0.481 0.072 0.047
F 0.460 0.666 0.387
F 0.009 0.938 0.716
F 0.786 0.868 0.148
F 0.003 0.711 0.286
F 0.706 0.055 0.487
F 0.503 0.289 0.714
F 0.837 0.566 0.486
F 0.981 0.928 0.953
F 0.996 0.479 0.047
F 0.551 0.798 0.615
F 0.960 0.334 0.613
F 0.203 0.301 0.186
F 0.280 0.786 0.146
F 0.051 0.202 0.385
F 0.509 0.062 0.284
F 0.337 0.434 0.514
V 0.972 0.577 0.173
V 0.525 0.749 0.500
V 0.025 0.251 0.500
V 0.506 0.107 0.173
V 0.006 0.893 0.827
V 0.472 0.423 0.827
Li 0.745 0.247 0.986
Li 0.245 0.753 0.014
O 0.713 0.371 0.179
O 0.213 0.629 0.821
CELL_PARAMETERS angstrom
-0.643 -3.884 3.476
4.036 1.811 2.770
-11.168 7.776 6.625
! Crystal system: monoclinic
! DOS at the Fermi energy: 0.351 states/eV per cell
! Energy relative to the elements, uncorrected: -290.58 kJ/mol of atoms

! meta-GGA SCAN Be2PRh, PBEsol geometry; values from VASP
&SYSTEM
  ibrav = 0, nat = 4, ntyp = 3
/
ATOMIC_SPECIES
Be 9.01 Be.upf
P 30.97 P.upf
Rh 102.91 Rh.upf
ATOMIC_POSITIONS crystal
Be 0.000 0.500 0.000
Be 0.000 0.000 0.500
P 0.500 0.000 0.000
Rh 0.500 0.500 0.500
CELL_PARAMETERS angstrom
-1.206 -2.032 1.445
2.213 -2.725 -1.985
1.980 1.179 3.309
! Crystal system: orthorhombic
! DOS at the Fermi energy: 1.215 states/eV per cell
! Formation enthalpy at 0 K: -0.297 eV per atom

! meta-GGA SCAN MgInPb2, PBEsol geometry; values from VASP
&SYSTEM
  ibrav = 0, nat = 4, ntyp = 3
/
ATOMIC_SPECIES
Pb 207.20 Pb.upf
Mg 24.30 Mg.upf
In 114.82 In.upf
ATOMIC_POSITIONS crystal
Pb 0.244 0.728 0.488
Pb 0.009 0.026 0.018
Mg 0.757 0.237 0.515
In 0.490 0.509 0.980
CELL_PARAMETERS angstrom
3.434 0.000 0.000
0.000 5.692 -0.159
-1.717 -1.307 5.496
! Crystal system: monoclinic
! DOS at the Fermi energy: 1.525 states/eV per cell
! Formation enthalpy at 0 K: -0.045 eV per atom

! meta-GGA SCAN SrCa2Cu, PBEsol geometry; values from VASP
&SYSTEM
  ibrav = 0, nat = 4, ntyp = 3
/
ATOMIC_SPECIES
Ca 40.08 Ca.upf
Sr 87.62 Sr.upf
Cu 63.55 Cu.upf
ATOMIC_POSITIONS crystal
Ca 0.187 0.187 0.374
Ca 0.813 0.813 0.626
Sr 0.000 0.500 0.000
Cu 0.500 0.000 0.000
CELL_PARAMETERS angstrom
-1.435 -3.142 -1.413
4.283 -3.057 2.449
-4.780 2.391 4.467
! Crystal system: orthorhombic
! DOS at the Fermi energy: 3.453 states/eV per cell
! Formation enthalpy at 0 K: 0.036 eV per atom
! Energy above the most stable polymorph in this dataset: 5 kJ/mol of formula units

! meta-GGA SCAN Sr2ScP, PBEsol geometry; values from VASP
&SYSTEM
  ibrav = 0, nat = 4, ntyp = 3
/
ATOMIC_SPECIES
Sr 87.62 Sr.upf
P 30.97 P.upf
Sc 44.96 Sc.upf
ATOMIC_POSITIONS crystal
Sr 0.223 0.223 0.330
Sr 0.777 0.777 0.670
P 0.500 0.500 0.500
Sc 0.000 0.000 0.000
CELL_PARAMETERS angstrom
-1.005 1.838 3.584
-3.977 0.241 1.165
-0.835 -7.765 6.152
! Crystal system: trigonal
! DOS at the Fermi energy: 4.560 states/eV per cell
! Formation enthalpy at 0 K: -0.291 eV per atom

! meta-GGA SCAN Fe3Co5, PBEsol geometry; values from VASP
&SYSTEM
  ibrav = 0, nat = 8, ntyp = 2
/
ATOMIC_SPECIES
Fe 55.84 Fe.upf
Co 58.93 Co.upf
ATOMIC_POSITIONS crystal
Fe 0.500 0.500 0.000
Fe 0.000 0.500 0.500
Fe 0.500 0.000 0.500
Co 0.000 0.000 0.000
Co 0.500 0.000 0.000
Co 0.000 0.500 0.000
Co 0.000 0.000 0.500
Co 0.500 0.500 0.500
CELL_PARAMETERS angstrom
4.830 0.000 0.000
-1.610 4.554 0.000
-1.610 -2.277 3.944
! Crystal system: cubic
! DOS at the Fermi energy: 4.784 states/eV per cell
! Formation enthalpy at 0 K: -0.163 eV per atom

! meta-GGA SCAN HfAl2Mo2, PBEsol geometry; values from VASP
&SYSTEM
  ibrav = 0, nat = 10, ntyp = 3
/
ATOMIC_SPECIES
Al 26.98 Al.upf
Hf 178.49 Hf.upf
Mo 95.94 Mo.upf
ATOMIC_POSITIONS crystal
Al 0.000 0.375 0.875
Al 0.000 0.625 0.125
Al 0.000 0.125 0.375
Al 0.000 0.875 0.625
Hf 0.000 0.000 0.000
Hf 0.000 0.500 0.500
Mo 0.500 0.673 0.827
Mo 0.500 0.327 0.173
Mo 0.500 0.827 0.327
Mo 0.500 0.173 0.673
CELL_PARAMETERS angstrom
-1.048 -3.190 -0.175
5.539 -1.611 -3.809
3.530 -1.476 5.757
! Crystal system: tetragonal
! DOS at the Fermi energy: 3.031 states/eV per cell
! Formation enthalpy at 0 K: -0.299 eV per atom

! meta-GGA SCAN K2NaTmCl6, PBEsol geometry; values from VASP
&SYSTEM
  ibrav = 0, nat = 10, ntyp = 4
/
ATOMIC_SPECIES
Cl 35.45 Cl.upf
K 39.10 K.upf
Tm 168.93 Tm.upf
Na 22.99 Na.upf
ATOMIC_POSITIONS crystal
Cl 0.755 0.245 0.245
Cl 0.245 0.755 0.755
Cl 0.245 0.245 0.755
Cl 0.245 0.755 0.245
Cl 0.755 0.245 0.755
Cl 0.755 0.755 0.245
K 0.250 0.250 0.250
K 0.750 0.750 0.750
Tm 0.000 0.000 0.000
Na 0.500 0.500 0.500
CELL_PARAMETERS angstrom
7.385 0.000 0.000
3.693 6.396 0.000
3.693 2.132 6.030
! Crystal system: cubic
! DOS at the Fermi energy: 0.000 states/eV per cell
! Energy relative to the elements, uncorrected: -222.48 kJ/mol of atoms

| no. | calculated density (g cm⁻³) | calculated total energy (eV/f.u.) |
| --- | --- | --- |
| 1 | 6.09 | -156.8 |
| 2 | 12.14 | -214.3 |
| 3 | 4.14 | -73.3 |
| 4 | 14.58 | -299.3 |
| 5 | 3.12 | -148.2 |
| 6 | 5.94 | -54.1 |
| 7 | 8.61 | -190.1 |
| 8 | 2.93 | -56.7 |
| 9 | 2.90 | -70.3 |
| 10 | 8.85 | -142.2 |
| 11 | 8.77 | -149.4 |
| 12 | 2.82 | -143.6 |